{"formula": "K2Na2Hg", "functional": "PBE", "state": "relaxed", "density_g_cm3": 2.36, "e_above_lowest_polymorph_mev_per_atom": 50.5, "dos_ef_per_ev_atom": 0.56, "magmom_total_mub_per_cell": 0.0, "vol_a3_per_cell": 229, "lattice": [[-3.8730, 0.2520, -2.4166], [0.8429, -4.1256, -1.7811], [-6.9677, -6.6130, 6.1522]], "species": ["K", "K", "Na", "Na", "Hg"], "frac_coords": [[0.4088, 0.4088, 0.1823], [0.5912, 0.5912, 0.8177], [0.2500, 0.7500, 0.5000], [0.7500, 0.2500, 0.5000], [0.0000, 0.0000, 0.0000]]}

{"formula": "Pm3Mg2In6", "functional": "PBE", "state": "relaxed", "density_g_cm3": 6.57, "dft_energy_ev_per_atom": -3.36, "dos_ef_per_ev_atom": 0.61, "magmom_total_mub_per_cell": 0.0, "vol_a3_per_cell": 296, "lattice": [[4.5837, 0.0000, 0.0000], [0.0000, 4.5837, 0.0000], [-2.2919, -2.2919, 14.1022]], "species": ["In", "In", "In", "In", "In", "In", "Pm", "Pm", "Pm", "Mg", "Mg"], "frac_coords": [[0.3905, 0.8905, 0.7810], [0.6095, 0.1095, 0.2190], [0.3117, 0.3117, 0.6234], [0.8905, 0.3905, 0.7810], [0.1095, 0.6095, 0.2190], [0.6883, 0.6883, 0.3766], [0.8008, 0.8008, 0.6015], [0.1992, 0.1992, 0.3985], [0.0000, 0.0000, 0.0000], [0.4531, 0.4531, 0.9062], [0.5469, 0.5469, 0.0938]]}

{"formula": "Co3P", "functional": "PBE", "state": "relaxed", "density_g_cm3": 8.06, "e_above_lowest_polymorph_mev_per_atom": 150.4, "dos_ef_per_ev_atom": 0.93, "magmom_total_mub_per_cell": 3.1, "vol_a3_per_cell": 43, "lattice": [[-4.6722, 0.0973, -0.1784], [-2.2668, -3.8362, -1.4201], [2.9448, 1.8475, 3.1283]], "species": ["P", "Co", "Co", "Co"], "frac_coords": [[0.5000, 0.0000, 0.5000], [0.2818, 0.2818, 0.0000], [0.0000, 0.5000, 0.5000], [0.7182, 0.7182, 0.0000]]}

{"formula": "GeMo2HS", "functional": "PBE", "state": "relaxed", "density_g_cm3": 7.98, "dft_energy_ev_per_atom": -6.31, "dos_ef_per_ev_atom": 0.92, "magmom_total_mub_per_cell": 0.0, "vol_a3_per_cell": 62, "lattice": [[4.3450, 0.0000, 0.0000], [0.0000, 3.2803, 0.0000], [0.0000, 0.0000, 4.3450]], "species": ["Mo", "Mo", "S", "H", "Ge"], "frac_coords": [[0.0000, 0.0000, 0.5000], [0.5000, 0.0000, 0.0000], [0.5000, 0.5000, 0.5000], [0.0000, 0.0000, 0.0000], [0.0000, 0.5000, 0.0000]]}

{"formula": "NdZn11Fe", "functional": "PBE", "state": "relaxed", "density_g_cm3": 7.42, "dft_energy_ev_per_atom": -2.25, "dos_ef_per_ev_atom": 0.52, "magmom_total_mub_per_cell": 2.3, "vol_a3_per_cell": 206, "lattice": [[4.7271, 0.0062, 1.9694], [2.3186, 6.3281, 0.9660], [-0.0787, 0.0031, 6.8469]], "species": ["Zn", "Zn", "Zn", "Zn", "Zn", "Zn", "Zn", "Zn", "Zn", "Zn", "Zn", "Fe", "Nd"], "frac_coords": [[0.6291, 0.3600, 0.3463], [0.0000, 0.0000, 0.5000], [0.0247, 0.6400, 0.3463], [0.0000, 0.5000, 0.0000], [0.7176, 0.7749, 0.7793], [0.5000, 0.0000, 0.5000], [0.5031, 0.2251, 0.7793], [0.3709, 0.6400, 0.6537], [0.4969, 0.7749, 0.2207], [0.2824, 0.2251, 0.2207], [0.9753, 0.3600, 0.6537], [0.5000, 0.5000, 0.0000], [0.0000, 0.0000, 0.0000]]}

{"formula": "MgSc2B", "functional": "PBE", "state": "relaxed", "density_g_cm3": 2.17, "e_above_lowest_polymorph_mev_per_atom": 0.0, "dos_ef_per_ev_atom": 0.97, "magmom_total_mub_per_cell": 0.0, "vol_a3_per_cell": 96, "lattice": [[-6.2034, 4.2644, 5.3194], [-3.2126, 5.5273, 6.6401], [-4.6347, 7.0044, 3.7975]], "species": ["Mg", "Sc", "Sc", "B"], "frac_coords": [[0.0000, 0.0000, 0.0000], [0.8783, 0.8783, 0.8783], [0.1217, 0.1217, 0.1217], [0.5000, 0.5000, 0.5000]]}